Entry from Alexandria: a relaxed La2Nd4Sm2Y crystal (GGA-PBE).

Cell lengths 3.7074, 9.7857, 9.8450 Å; angles 115.16, 90.00, 100.92 degrees
Positions (direct):
Nd  0.4814  0.9628  0.6666
Nd  0.1854  0.3709  0.3338
Y  0.0000  0.0000  0.0000
Nd  0.5186  0.0372  0.3334
La  0.3340  0.6681  0.0011
Sm  0.8522  0.7044  0.3333
Nd  0.8146  0.6291  0.6662
La  0.6660  0.3319  0.9989
Sm  0.1478  0.2956  0.6667

## Properties
Energy of formation in meV per atom: 9
E_tot in eV/cell: -44.7
Space-group type: C2/m (12)